DFT (GGA-PBE) results for a geometry-optimized KMnB2Pd structure.

Unit cell a=4.201 b=5.641 c=4.201 alpha=90.00 beta=90.00 gamma=90.00
Site moments in Bohr magnetons follow the coordinates.
Positions (direct):
B (0.500, 0.000, 0.000)  -0.01
B (0.000, 0.000, 0.500)  -0.04
Mn (0.500, 0.500, 0.500)  4.19
Pd (0.000, 0.000, 0.000)  0.00
K (0.000, 0.500, 0.000)  0.00

Values from the calculation:
energy of formation from the pure elements	1.400	eV per atom
VASP energy	-21.81	eV for the cell shown

=====

DFT (GGA-PBE) results for a geometry-optimized KMn2BPt structure.

Unit cell a=4.940 b=5.905 c=4.940 alpha=90.00 beta=90.00 gamma=90.00
Site moments in Bohr magnetons follow the coordinates.
Positions (direct):
Pt (0.000, 0.000, 0.000)  0.29
K (0.000, 0.500, 0.000)  -0.02
Mn (0.000, 0.000, 0.500)  4.21
Mn (0.500, 0.000, 0.000)  4.29
B (0.500, 0.500, 0.500)  -0.37

Values from the calculation:
energy of formation from the pure elements	1.460	eV per atom
VASP energy	-24.86	eV for the cell shown

=====

DFT (GGA-PBE) results for a geometry-optimized K2MnBSe4 structure.

Unit cell a=5.895 b=7.391 c=11.876 alpha=84.32 beta=75.63 gamma=66.49
Site moments in Bohr magnetons follow the coordinates.
Positions (direct):
Se (0.568, 0.181, 0.101)  -0.01
Se (0.851, 0.819, 0.899)  -0.01
Se (0.500, 0.319, 0.601)  -0.01
Se (0.899, 0.681, 0.601)  -0.01
Se (0.420, 0.681, 0.399)  -0.01
Se (0.330, 0.819, 0.101)  -0.01
Se (0.182, 0.319, 0.399)  -0.01
Se (0.250, 0.181, 0.899)  -0.01
B (0.250, 0.500, 0.500)  0.03
B (0.500, 0.000, 0.000)  0.03
K (0.180, 0.000, 0.640)  0.00
K (0.930, 0.500, 0.140)  0.00
K (0.820, 0.000, 0.360)  0.00
K (0.570, 0.500, 0.860)  0.00
Mn (0.750, 0.500, 0.500)  3.59
Mn (0.000, 0.000, 0.000)  3.59

Values from the calculation:
uncorrected formation energy	-644	meV/atom
VASP energy	-74.26	eV for the cell shown

=====

DFT (GGA-PBE) results for a geometry-optimized KTiMn2B structure.

Unit cell a=4.458 b=4.564 c=4.458 alpha=90.00 beta=90.00 gamma=90.00
Site moments in Bohr magnetons follow the coordinates.
Positions (direct):
B (0.500, 0.500, 0.500)  0.02
Mn (0.500, 0.000, 0.000)  3.60
Mn (0.000, 0.000, 0.500)  3.30
Ti (0.000, 0.500, 0.000)  -1.23
K (0.000, 0.000, 0.000)  -0.08

Values from the calculation:
energy of formation from the pure elements	2.901	eV per atom
VASP energy	-19.50	eV for the cell shown

=====

DFT (GGA-PBE) results for a geometry-optimized K2MnVB structure.

Unit cell a=6.413 b=3.910 c=6.413 alpha=90.00 beta=90.00 gamma=90.00
Site moments in Bohr magnetons follow the coordinates.
Positions (direct):
V (0.000, 0.000, 0.000)  0.05
Mn (0.000, 0.500, 0.000)  -0.04
K (0.000, 0.000, 0.500)  0.01
K (0.500, 0.000, 0.000)  0.01
B (0.500, 0.500, 0.500)  0.36

Values from the calculation:
energy of formation from the pure elements	2.037	eV per atom
VASP energy	-16.98	eV for the cell shown

=====

DFT (GGA-PBE) results for a geometry-optimized KZrMn2B structure.

Unit cell a=4.106 b=4.753 c=4.106 alpha=90.00 beta=90.00 gamma=90.00
Positions (direct):
K (0.000, 0.000, 0.000)
Mn (0.500, 0.000, 0.000)
Mn (0.000, 0.000, 0.500)
B (0.000, 0.500, 0.000)
Zr (0.500, 0.500, 0.500)

Values from the calculation:
energy of formation from the pure elements	2.572	eV per atom
VASP energy	-21.80	eV for the cell shown

=====

DFT (GGA-PBE) results for a geometry-optimized KBMo3 structure.

Unit cell a=4.436 b=4.436 c=4.436 alpha=90.00 beta=90.00 gamma=90.00
Positions (direct):
Mo (0.000, 0.000, 0.500)
Mo (0.000, 0.500, 0.000)
Mo (0.500, 0.000, 0.000)
K (0.000, 0.000, 0.000)
B (0.500, 0.500, 0.500)

Values from the calculation:
energy of formation from the pure elements	3.818	eV per atom
offset from the most stable computed form	12.94	eV/f.u.
VASP energy	-21.18	eV for the cell shown

=====

DFT (GGA-PBE) results for a geometry-optimized KB3Mo structure.

Unit cell a=4.154 b=4.154 c=4.154 alpha=90.00 beta=90.00 gamma=90.00
Site moments in Bohr magnetons follow the coordinates.
Positions (direct):
B (0.000, 0.500, 0.000)  0.02
B (0.000, 0.000, 0.500)  0.02
B (0.500, 0.000, 0.000)  0.02
K (0.000, 0.000, 0.000)  0.00
Mo (0.500, 0.500, 0.500)  -1.72

Values from the calculation:
energy of formation from the pure elements	3.545	eV per atom
offset from the most stable computed form	12.91	eV/f.u.
VASP energy	-14.24	eV for the cell shown

=====

| no. | DOS(E_F) (states/eV per cell) |
| --- | --- |
| 1 | 2.7 |
| 2 | 5.0 |
| 3 | 6.5 |
| 4 | 6.5 |
| 5 | 8.3 |
| 6 | 11.5 |
| 7 | 5.7 |
| 8 | 4.8 |